[1]
Entry from Alexandria: CaYCu at its PBEsol-relaxed geometry (meta-GGA SCAN).

Cell lengths 6.7880, 6.7880, 6.7880 Å; angles 150.34, 150.34, 42.45 degrees
Last column: nearest neighbours and their distance in Å.
Fractional coordinates of all 3 atoms:
Ca (0.0000, 0.0000, 0.0000)  4 Cu 3.10, 1 Y 3.37
Y (0.7335, 0.7335, 0.0000)  4 Cu 2.87
Cu (0.3511, 0.3511, 0.0000)  4 Y 2.87, 4 Ca 3.10

Computed properties:
Its space group is No. 107. Its energy relative to the elements is -0.302 eV per formula unit.

[2]
Entry from Alexandria: Ca2YCu2 at its PBEsol-relaxed geometry (meta-GGA SCAN).

Cell lengths 7.3796, 7.3796, 4.4037 Å; angles 90.00, 90.00, 90.00 degrees
Last column: nearest neighbours and their distance in Å.
Fractional coordinates of all 10 atoms:
Ca (0.1698, 0.3302, 0.0000)  6 Cu 3.09-3.12
Ca (0.3302, 0.8302, 0.0000)  6 Cu 3.09-3.12
Ca (0.6698, 0.1698, 0.0000)  6 Cu 3.09-3.12
Ca (0.8302, 0.6698, 0.0000)  6 Cu 3.09-3.12
Y (0.0000, 0.0000, 0.5000)  4 Cu 2.95
Y (0.5000, 0.5000, 0.5000)  4 Cu 2.95
Cu (0.1185, 0.6185, 0.5000)  1 Cu 2.47
Cu (0.3815, 0.1185, 0.5000)  1 Cu 2.47
Cu (0.6185, 0.8815, 0.5000)  1 Cu 2.47
Cu (0.8815, 0.3815, 0.5000)  1 Cu 2.47

Computed properties:
Its excess energy over the best structure of this formula in the dataset is 0 meV per atom. Its space group is No. 127. Its energy relative to the elements is -0.486 eV per formula unit.

[3]
Entry from Alexandria: Ca2YCu2 at its PBEsol-relaxed geometry (meta-GGA SCAN).

Cell lengths 7.0199, 7.0199, 7.0199 Å; angles 143.66, 143.66, 52.33 degrees
Last column: nearest neighbours and their distance in Å.
Fractional coordinates of all 5 atoms:
Ca (0.2500, 0.7500, 0.5000)  4 Cu 2.96, 4 Ca 3.10
Ca (0.7500, 0.2500, 0.5000)  4 Cu 2.96, 4 Ca 3.10
Y (0.0000, 0.0000, 0.0000)  8 Cu 3.31
Cu (0.4080, 0.4080, 0.0000)  1 Cu 2.32
Cu (0.5920, 0.5920, 0.0000)  1 Cu 2.32

Computed properties:
Its excess energy over the best structure of this formula in the dataset is 210 meV per atom. Its space group is No. 139. Its energy relative to the elements is 0.565 eV per formula unit.

[4]
Entry from Alexandria: CaY2Cu at its PBEsol-relaxed geometry (meta-GGA SCAN).

Cell lengths 5.2303, 5.2303, 5.2303 Å; angles 60.00, 60.00, 60.00 degrees
Last column: nearest neighbours and their distance in Å.
Fractional coordinates of all 4 atoms:
Ca (0.0000, 0.0000, 0.0000)  8 Y 3.20
Y (0.2500, 0.2500, 0.2500)  4 Ca 3.20, 4 Cu 3.20
Y (0.7500, 0.7500, 0.7500)  4 Ca 3.20, 4 Cu 3.20
Cu (0.5000, 0.5000, 0.5000)  8 Y 3.20

Computed properties:
Its excess energy over the best structure of this formula in the dataset is 331 meV per atom. Its space group is No. 225. Its energy relative to the elements is 0.991 eV per formula unit.

[5]
Entry from Alexandria: CaY2Cu at its PBEsol-relaxed geometry (meta-GGA SCAN).

Cell lengths 6.0072, 6.0072, 6.0072 Å; angles 135.74, 135.74, 64.38 degrees
Last column: nearest neighbours and their distance in Å.
Fractional coordinates of all 4 atoms:
Ca (0.0000, 0.0000, 0.0000)  4 Cu 3.20, 8 Y 3.40
Y (0.2500, 0.7500, 0.5000)  4 Y 3.20, 4 Ca 3.40, 4 Cu 3.40
Y (0.7500, 0.2500, 0.5000)  4 Y 3.20, 4 Ca 3.40, 4 Cu 3.40
Cu (0.5000, 0.5000, 0.0000)  4 Ca 3.20, 8 Y 3.40

Computed properties:
Its excess energy over the best structure of this formula in the dataset is 377 meV per atom. Its space group is No. 139. Its energy relative to the elements is 1.175 eV per formula unit.

[6]
Entry from Alexandria: CaY2Cu at its PBEsol-relaxed geometry (meta-GGA SCAN).

Cell lengths 3.4518, 3.4518, 9.0280 Å; angles 90.00, 90.00, 90.00 degrees
Last column: nearest neighbours and their distance in Å.
Fractional coordinates of all 4 atoms:
Ca (0.0000, 0.0000, 0.0000)  4 Cu 3.10, 4 Ca 3.45, 1 Y 3.47
Y (0.0000, 0.0000, 0.6158)  4 Cu 2.90
Y (0.5000, 0.5000, 0.3321)  8 Y 3.45-3.54
Cu (0.5000, 0.5000, 0.7883)  4 Y 2.90, 4 Ca 3.10

Computed properties:
Its excess energy over the best structure of this formula in the dataset is 43 meV per atom. Its space group is No. 99. Its energy relative to the elements is -0.160 eV per formula unit.

[7]
Entry from Alexandria: CaY3Cu at its PBEsol-relaxed geometry (meta-GGA SCAN).

Cell lengths 5.3914, 5.3914, 5.3914 Å; angles 90.00, 90.00, 90.00 degrees
Last column: nearest neighbours and their distance in Å.
Fractional coordinates of all 5 atoms:
Ca (0.0000, 0.0000, 0.0000)  12 Y 3.81
Y (0.0000, 0.5000, 0.5000)  2 Cu 2.70
Y (0.5000, 0.0000, 0.5000)  2 Cu 2.70
Y (0.5000, 0.5000, 0.0000)  2 Cu 2.70
Cu (0.5000, 0.5000, 0.5000)  6 Y 2.70

Computed properties:
Its space group is No. 221. Its energy relative to the elements is 0.232 eV per formula unit.

[8]
Entry from Alexandria: CaYCu4 at its PBEsol-relaxed geometry (meta-GGA SCAN).

Cell lengths 5.1819, 5.1819, 5.1819 Å; angles 60.00, 60.00, 60.00 degrees
Last column: nearest neighbours and their distance in Å.
Fractional coordinates of all 6 atoms:
Ca (0.0000, 0.0000, 0.0000)  12 Cu 3.04, 4 Y 3.17
Y (0.7500, 0.7500, 0.7500)  12 Cu 3.04, 4 Ca 3.17
Cu (0.3745, 0.3745, 0.3745)  6 Cu 2.58-2.60
Cu (0.3745, 0.3745, 0.8765)  6 Cu 2.58-2.60
Cu (0.3745, 0.8765, 0.3745)  6 Cu 2.58-2.60
Cu (0.8765, 0.3745, 0.3745)  6 Cu 2.58-2.60

Computed properties:
Its space group is No. 216. Its energy relative to the elements is -0.817 eV per formula unit.

[9]
Entry from Alexandria: CaY2Cu2 at its PBEsol-relaxed geometry (meta-GGA SCAN).

Cell lengths 7.9097, 7.9097, 3.7023 Å; angles 90.00, 90.00, 90.00 degrees
Last column: nearest neighbours and their distance in Å.
Fractional coordinates of all 10 atoms:
Ca (0.0000, 0.0000, 0.0000)  4 Cu 3.15, 8 Y 3.51
Ca (0.5000, 0.5000, 0.0000)  4 Cu 3.15, 8 Y 3.51
Y (0.1578, 0.3422, 0.5000)  6 Cu 2.89-3.09
Y (0.3422, 0.8422, 0.5000)  6 Cu 2.89-3.09
Y (0.6578, 0.1578, 0.5000)  6 Cu 2.89-3.09
Y (0.8422, 0.6578, 0.5000)  6 Cu 2.89-3.09
Cu (0.1209, 0.6209, 0.0000)  1 Cu 2.71, 4 Y 2.89
Cu (0.3791, 0.1209, 0.0000)  1 Cu 2.71, 4 Y 2.89
Cu (0.6209, 0.8791, 0.0000)  1 Cu 2.71, 4 Y 2.89
Cu (0.8791, 0.3791, 0.0000)  1 Cu 2.71, 4 Y 2.89

Computed properties:
Its space group is No. 127. Its energy relative to the elements is -0.770 eV per formula unit.

[10]
Entry from Alexandria: CaY2Cu at its PBEsol-relaxed geometry (meta-GGA SCAN).

Cell lengths 3.4873, 3.4873, 9.1001 Å; angles 90.00, 90.00, 90.00 degrees
Last column: nearest neighbours and their distance in Å.
Fractional coordinates of all 4 atoms:
Ca (0.0000, 0.0000, 0.0000)  4 Ca 3.49, 8 Y 3.83
Y (0.5000, 0.5000, 0.3224)  4 Cu 2.95, 1 Y 3.23
Y (0.5000, 0.5000, 0.6776)  4 Cu 2.95, 1 Y 3.23
Cu (0.0000, 0.0000, 0.5000)  8 Y 2.95

Computed properties:
Its excess energy over the best structure of this formula in the dataset is 0 meV per atom. Its space group is No. 123. Its energy relative to the elements is -0.334 eV per formula unit.

[11]
Entry from Alexandria: CaZn2Cu2 at its PBEsol-relaxed geometry (meta-GGA SCAN).

Cell lengths 5.4882, 5.4882, 5.4882 Å; angles 133.49, 133.49, 67.88 degrees
Last column: nearest neighbours and their distance in Å.
Fractional coordinates of all 5 atoms:
Ca (0.0000, 0.0000, 0.0000)  8 Cu 3.14, 10 Zn 3.30-3.33
Zn (0.3657, 0.3657, 0.0000)  4 Cu 2.41, 1 Zn 2.45
Zn (0.6343, 0.6343, 0.0000)  4 Cu 2.41, 1 Zn 2.45
Cu (0.2500, 0.7500, 0.5000)  4 Zn 2.41
Cu (0.7500, 0.2500, 0.5000)  4 Zn 2.41

Computed properties:
Its space group is No. 139. Its energy relative to the elements is -0.804 eV per formula unit.

[12]
Entry from Alexandria: Ca2ZnCu at its PBEsol-relaxed geometry (meta-GGA SCAN).

Cell lengths 4.9779, 4.9779, 3.6023 Å; angles 90.00, 90.00, 90.00 degrees
Last column: nearest neighbours and their distance in Å.
Fractional coordinates of all 4 atoms:
Ca (0.0000, 0.5000, 0.0000)  4 Cu 3.07, 4 Zn 3.07
Ca (0.5000, 0.0000, 0.0000)  4 Cu 3.07, 4 Zn 3.07
Zn (0.0000, 0.0000, 0.5000)  8 Ca 3.07
Cu (0.5000, 0.5000, 0.5000)  8 Ca 3.07

Computed properties:
Its space group is No. 123. Its energy relative to the elements is -0.507 eV per formula unit.

[13]
Entry from Alexandria: Ca2ZnCu at its PBEsol-relaxed geometry (meta-GGA SCAN).

Cell lengths 4.1919, 5.8509, 5.8509 Å; angles 42.17, 90.00, 90.00 degrees
Last column: nearest neighbours and their distance in Å.
Fractional coordinates of all 4 atoms:
Ca (0.0000, 0.0000, 0.0000)  3 Cu 3.07-3.22, 4 Zn 3.11
Ca (0.5000, 0.2879, 0.2879)  3 Zn 3.06-3.23, 4 Cu 3.11
Zn (0.5000, 0.5840, 0.5840)  2 Cu 2.48
Cu (0.0000, 0.7048, 0.7048)  2 Zn 2.48

Computed properties:
Its space group is No. 38. Its energy relative to the elements is -0.841 eV per formula unit.